A geometry-optimized Rb3PaCo2O8 structure. Source: Alexandria via LeMat-Bulk, functional PBE with a Hubbard U.

Structure (CIF):
```
data_Rb3PaCo2O8
_symmetry_space_group_name_H-M 'P -3 m 1'
_symmetry_Int_Tables_number 164
_symmetry_space_group_name_Hall '-P 3 2"'
_cell_length_a 6.0711
_cell_length_b 6.0711
_cell_length_c 8.1029
_cell_angle_alpha 90.00
_cell_angle_beta 90.00
_cell_angle_gamma 120.00
loop_
_atom_site_label
_atom_site_fract_x
_atom_site_fract_y
_atom_site_fract_z
Rb1 0.0000 0.0000 0.0000
Rb2 0.3333 0.6667 0.7146
Pa1 0.0000 0.0000 0.5000
Co1 0.3333 0.6667 0.2670
O1 0.1687 0.3373 0.3438
O2 0.3333 0.6667 0.0556
```

Calculated values
Its size of the total moment is 10.00 μB per cell. The value obtained for the calculated total energy is -6.23 eV per atom.